Entry 1:
Entry from OQMD via LeMat-Bulk: a relaxed YHoCu2Bi4 crystal (PBE).

Output
- SG = No. 99
- theoretical density (g cm⁻³) = 10.2
- E_tot (eV/atom) = -4.740

a b c (Å): 4.542 4.542 9.623
angles (deg): 90.00 90.00 90.00
Positions (direct):
Cu 0.500 0.000 0.999
Ho 0.000 0.000 0.766
Bi 0.500 0.500 0.831
Y 0.500 0.500 0.236
Bi 0.000 0.000 0.167
Cu 0.000 0.500 0.999
Bi 0.000 0.500 0.502
Bi 0.500 0.000 0.502


Entry 2:
Entry from OQMD via LeMat-Bulk: a relaxed RbNp crystal (PBE).

Output
- SG = No. 216
- theoretical density (g cm⁻³) = 2.5
- E_tot (eV/atom) = -4.340

a b c (Å): 6.718 6.718 6.718
angles (deg): 60.00 60.00 60.00
Positions (direct):
Np 0.000 0.000 0.000
Rb 0.250 0.250 0.250


Entry 3:
Entry from OQMD via LeMat-Bulk: a relaxed Li2ScSn2Pd crystal (PBE).

Output
- SG = No. 187
- theoretical density (g cm⁻³) = 5.6
- E_tot (eV/atom) = -4.344

a b c (Å): 4.833 4.833 5.854
angles (deg): 90.00 90.00 120.00
Positions (direct):
Sn 0.333 0.667 0.000
Sn 0.000 0.000 0.500
Sc 0.333 0.667 0.500
Li 0.667 0.333 0.239
Li 0.667 0.333 0.761
Pd 0.000 0.000 0.000


Entry 4:
Entry from OQMD via LeMat-Bulk: a relaxed ZrU crystal (PBE).

Output
- SG = No. 11
- theoretical density (g cm⁻³) = 12.0
- formation enthalpy at 0 K (eV per atom) = 0.17
- E_tot (eV/atom) = -9.756
- energy above the most stable polymorph in this dataset (eV/atom) = 0.051

a b c (Å): 8.498 6.262 5.237
angles (deg): 90.00 90.00 101.68
Positions (direct):
U 0.186 0.719 0.000
U 0.986 0.726 0.500
Zr 0.904 0.031 0.000
Zr 0.538 0.134 0.000
Zr 0.684 0.921 0.500
Zr 0.651 0.396 0.500
Zr 0.571 0.659 0.000
U 0.896 0.518 0.000
U 0.326 0.537 0.500
U 0.236 0.330 0.000
Zr 0.318 0.025 0.500
U 0.036 0.337 0.500


Entry 5:
Entry from OQMD via LeMat-Bulk: a relaxed Ni15As crystal (PBE).

Output
- SG = No. 6
- theoretical density (g cm⁻³) = 5.5
- E_tot (eV/atom) = -5.481
- energy above the most stable polymorph in this dataset (eV/atom) = 0.005

a b c (Å): 4.935 3.508 33.352
angles (deg): 90.00 90.00 90.00
Positions (direct):
Ni 0.126 0.000 0.742
Ni 0.874 0.500 0.258
Ni 0.375 0.500 0.777
Ni 0.375 0.500 0.555
Ni 0.625 0.000 0.223
Ni 0.125 0.000 0.519
Ni 0.125 0.000 0.445
Ni 0.875 0.500 0.408
Ni 0.625 0.000 0.445
Ni 0.624 0.000 0.742
Ni 0.376 0.500 0.258
Ni 0.125 0.000 0.592
Ni 0.375 0.500 0.482
Ni 0.625 0.000 0.297
Ni 0.125 0.000 0.371
Ni 0.375 0.500 0.333
Ni 0.875 0.500 0.703
Ni 0.625 0.000 0.667
Ni 0.625 0.000 0.519
Ni 0.375 0.500 0.703
Ni 0.875 0.500 0.482
As 0.125 0.000 0.223
Ni 0.625 0.000 0.592
Ni 0.875 0.500 0.333
Ni 0.625 0.000 0.370
Ni 0.375 0.500 0.408
Ni 0.875 0.500 0.629
Ni 0.125 0.000 0.297
Ni 0.125 0.000 0.667
Ni 0.875 0.500 0.555
Ni 0.375 0.500 0.629
As 0.875 0.500 0.777


Entry 6:
Entry from OQMD via LeMat-Bulk: a relaxed Hf3AlCN crystal (PBE).

Output
- SG = No. 164
- theoretical density (g cm⁻³) = 11.0
- E_tot (eV/atom) = -9.571

a b c (Å): 3.242 3.242 19.494
angles (deg): 90.00 90.00 120.00
Positions (direct):
Hf 0.000 0.000 0.500
N 0.333 0.667 0.434
Hf 0.667 0.333 0.133
Hf 0.667 0.333 0.368
Hf 0.333 0.667 0.867
C 0.333 0.667 0.071
C 0.667 0.333 0.929
Hf 0.000 0.000 0.000
Al 0.000 0.000 0.252
N 0.667 0.333 0.566
Al 0.000 0.000 0.748
Hf 0.333 0.667 0.632


Entry 7:
Entry from OQMD via LeMat-Bulk: a relaxed Lu4Sc2As3N3 crystal (PBE).

Output
- SG = No. 15
- theoretical density (g cm⁻³) = 8.6
- E_tot (eV/atom) = -7.221

a b c (Å): 6.092 6.092 13.109
angles (deg): 103.42 103.42 59.98
Positions (direct):
Sc 0.633 0.467 0.903
N 0.000 0.500 0.000
Lu 0.967 0.799 0.899
Sc 0.367 0.533 0.097
Sc 0.533 0.367 0.597
Sc 0.467 0.633 0.403
As 0.264 0.416 0.750
As 0.416 0.264 0.250
Lu 0.201 0.033 0.601
Lu 0.701 0.866 0.101
Lu 0.299 0.134 0.899
N 0.336 0.829 0.000
As 0.902 0.098 0.750
N 0.829 0.336 0.500
Lu 0.033 0.201 0.101
As 0.736 0.584 0.250
N 0.664 0.171 0.000
Lu 0.866 0.701 0.601
N 0.500 0.000 0.500
Lu 0.799 0.967 0.399
Lu 0.134 0.299 0.399
As 0.098 0.902 0.250
N 0.171 0.664 0.500
As 0.584 0.736 0.750


Entry 8:
Entry from OQMD via LeMat-Bulk: a relaxed RbAu crystal (PBE).

Output
- SG = No. 216
- theoretical density (g cm⁻³) = 4.2
- E_tot (eV/atom) = -2.272

a b c (Å): 5.422 5.422 5.422
angles (deg): 60.00 60.00 60.00
Positions (direct):
Rb 0.250 0.250 0.250
Au 0.000 0.000 0.000


Entry 9:
Entry from OQMD via LeMat-Bulk: a relaxed YErCo2B2N2 crystal (PBE).

Output
- SG = No. 99
- theoretical density (g cm⁻³) = 7.9
- E_tot (eV/atom) = -8.007

a b c (Å): 3.467 3.467 7.443
angles (deg): 90.00 90.00 90.00
Positions (direct):
N 0.500 0.500 0.147
Co 0.500 0.000 0.499
N 0.000 0.000 0.854
Er 0.000 0.000 0.168
B 0.500 0.500 0.350
B 0.000 0.000 0.651
Co 0.000 0.500 0.499
Y 0.500 0.500 0.832


Entry 10:
Entry from OQMD via LeMat-Bulk: a relaxed NdReOs crystal (PBE).

Output
- SG = No. 216
- theoretical density (g cm⁻³) = 12.9
- formation enthalpy at 0 K (eV per atom) = 2.02
- E_tot (eV/atom) = -7.450

a b c (Å): 4.562 4.562 4.562
angles (deg): 60.00 60.00 60.00
Positions (direct):
Nd 0.000 0.000 0.000
Os 0.250 0.250 0.250
Re 0.750 0.750 0.750


Entry 11:
Entry from OQMD via LeMat-Bulk: a relaxed SrHgTeO crystal (PBE).

Output
- SG = No. 61
- theoretical density (g cm⁻³) = 6.9
- E_tot (eV/atom) = -3.754
- energy above the most stable polymorph in this dataset (eV/atom) = 0.060

a b c (Å): 7.712 13.749 7.883
angles (deg): 90.00 90.00 90.00
Positions (direct):
Sr 0.915 0.217 0.620
Hg 0.261 0.444 0.038
Te 0.992 0.047 0.256
Te 0.992 0.453 0.756
Te 0.492 0.047 0.244
Hg 0.761 0.056 0.962
Hg 0.739 0.944 0.462
Sr 0.415 0.217 0.880
O 0.245 0.217 0.616
Hg 0.261 0.056 0.538
Te 0.008 0.953 0.744
Sr 0.585 0.717 0.620
O 0.255 0.783 0.116
Hg 0.761 0.444 0.462
Sr 0.915 0.283 0.120
Te 0.492 0.453 0.744
Sr 0.085 0.783 0.380
Te 0.508 0.547 0.256
O 0.245 0.283 0.116
Sr 0.585 0.783 0.120
Hg 0.739 0.556 0.962
Hg 0.239 0.556 0.538
O 0.745 0.283 0.384
O 0.755 0.717 0.884
Hg 0.239 0.944 0.038
Sr 0.415 0.283 0.380
Te 0.008 0.547 0.244
Sr 0.085 0.717 0.880
O 0.745 0.217 0.884
O 0.755 0.783 0.384
Te 0.508 0.953 0.756
O 0.255 0.717 0.616


Entry 12:
Entry from OQMD via LeMat-Bulk: a relaxed Nd6TlIn crystal (PBE).

Output
- SG = No. 123
- theoretical density (g cm⁻³) = 7.9
- E_tot (eV/atom) = -4.457

a b c (Å): 4.984 4.984 9.968
angles (deg): 90.00 90.00 90.00
Positions (direct):
Nd 0.000 0.500 0.751
In 0.000 0.000 0.000
Nd 0.500 0.000 0.751
Nd 0.500 0.000 0.249
Nd 0.000 0.500 0.249
Nd 0.500 0.500 0.500
Tl 0.000 0.000 0.500
Nd 0.500 0.500 0.000